Density functional theory data (PBE) for a relaxed UZn4Pt4 crystal.

The structure in POSCAR format:
```
UZn4Pt4
1.0
-5.036 0.061 2.873
-2.746 -1.807 -4.776
1.310 -8.541 2.479
Pt Zn U
8 8 2
direct
0.741 0.000 0.276
0.759 0.500 0.224
0.500 0.241 0.776
0.000 0.259 0.724
0.500 0.759 0.776
0.241 0.500 0.224
0.000 0.741 0.724
0.259 0.000 0.276
0.780 0.500 0.928
0.220 0.500 0.928
0.280 0.000 0.572
0.720 0.000 0.572
0.500 0.220 0.072
0.500 0.780 0.072
0.000 0.280 0.428
0.000 0.720 0.428
0.500 0.500 0.500
0.000 0.000 0.000
```

Its symmetry is P4_2/nmc. Its magnetic moment is 2.108 μB/f.u. The total energy comes out at -4.911 eV/atom.

Density functional theory data (PBE) for a relaxed TbNd6Ho crystal.

The structure in POSCAR format:
```
TbNd6Ho
1.0
5.157 0.000 0.000
0.000 5.157 0.000
0.000 0.000 10.305
Tb Nd Ho
1 6 1
direct
0.000 0.000 0.000
0.500 0.000 0.749
0.500 0.500 0.000
0.500 0.000 0.251
0.000 0.500 0.749
0.000 0.500 0.251
0.500 0.500 0.500
0.000 0.000 0.500
```

Its symmetry is P4/mmm. Its magnetic moment is 0.000 μB/f.u. The total energy comes out at -4.712 eV/atom.

What is the total energy in the second record?
-4.712 eV/atom